PBE+U Ni3OF5, relaxed; total energy = -4.28 eV per atom; energy above the most stable polymorph in this dataset = 0.0035 eV/atom
1.0
6.649 0.000 0.000
0.000 3.095 0.000
-3.320 0.000 9.972
Ni O F
6 2 10
Direct
0.000 0.000 0.000
0.159 0.500 0.318
0.322 0.000 0.654
0.495 0.500 0.988
0.661 0.000 0.324
0.840 0.500 0.660
0.028 0.000 0.657
0.062 0.500 0.124
0.264 0.500 0.521
0.299 0.000 0.988
0.359 0.000 0.323
0.397 0.500 0.787
0.595 0.500 0.191
0.632 0.000 0.657
0.692 0.000 0.991
0.728 0.500 0.454
0.932 0.500 0.863
0.965 0.000 0.326